(1)
Compound: BaNiRu
Source: the Alexandria database
Functional: PBE-GGA
Structure: optimized geometry

Calculated values
Offset from the most stable computed form (kJ per mole of atoms): 136.3
Formation enthalpy at 0 K (eV/f.u.): 4.77

Cell: 4.672 4.672 4.672 Å, 60.00 60.00 60.00°
Element x y z (fractional)
Ba 0.000 0.000 0.000
Ni 0.250 0.250 0.250
Ru 0.750 0.750 0.750

---

(2)
Compound: ZnGePCl2
Source: the Alexandria database
Functional: PBE-GGA
Structure: optimized geometry

Calculated values
Offset from the most stable computed form (kJ per mole of atoms): 0.0
Formation energy without anion corrections (meV/atom): 161

Cell: 4.676 4.676 5.054 Å, 90.00 90.00 90.00°
Element x y z (fractional)
Zn 0.000 0.000 0.000
Ge 0.500 0.500 0.500
P 0.000 0.000 0.500
Cl 0.000 0.500 0.000
Cl 0.500 0.000 0.000

---

(3)
Compound: Nd2TeBr5
Source: the Alexandria database
Functional: PBE-GGA
Structure: optimized geometry

Calculated values
Formation energy without anion corrections (meV/atom): -1434

Cell: 7.712 7.712 7.712 Å, 142.82 108.62 83.34°
Element x y z (fractional)
Nd 0.250 0.250 0.000
Nd 0.750 0.750 0.000
Te 0.500 0.000 0.500
Br 0.000 0.000 0.000
Br 0.024 0.337 0.687
Br 0.350 0.663 0.687
Br 0.650 0.337 0.313
Br 0.976 0.663 0.313

---

(4)
Compound: Sc2ZnCu5Ni2
Source: the Alexandria database
Functional: PBE-GGA
Structure: optimized geometry

Calculated values
Formation enthalpy at 0 K (eV/f.u.): -2.26

Cell: 8.545 8.545 3.870 Å, 90.00 90.00 90.00°
Element x y z (fractional)
Sc 0.176 0.324 0.000
Sc 0.324 0.824 0.000
Sc 0.676 0.176 0.000
Sc 0.824 0.676 0.000
Zn 0.000 0.000 0.000
Zn 0.500 0.500 0.000
Cu 0.000 0.500 0.500
Cu 0.066 0.795 0.500
Cu 0.205 0.066 0.500
Cu 0.295 0.566 0.500
Cu 0.434 0.295 0.500
Cu 0.500 0.000 0.500
Cu 0.566 0.705 0.500
Cu 0.705 0.434 0.500
Cu 0.795 0.934 0.500
Cu 0.934 0.205 0.500
Ni 0.119 0.619 0.000
Ni 0.381 0.119 0.000
Ni 0.619 0.881 0.000
Ni 0.881 0.381 0.000

---

(5)
Compound: PtSe2Cl
Source: the Alexandria database
Functional: PBE-GGA
Structure: optimized geometry

Calculated values
Offset from the most stable computed form (kJ per mole of atoms): 48.5
Formation energy without anion corrections (meV/atom): 158

Cell: 3.192 3.465 8.913 Å, 90.00 90.00 90.00°
Element x y z (fractional)
Pt 0.000 0.000 0.000
Se 0.000 0.000 0.269
Se 0.500 0.500 0.873
Cl 0.500 0.500 0.616

---

(6)
Compound: Y2PtPb
Source: the Alexandria database
Functional: PBE-GGA
Structure: optimized geometry

Calculated values
Formation enthalpy at 0 K (eV/f.u.): -2.91

Cell: 5.005 5.005 3.935 Å, 90.00 90.00 90.14°
Element x y z (fractional)
Y 0.000 0.500 0.000
Y 0.500 0.000 0.000
Pt 0.000 0.000 0.500
Pb 0.500 0.500 0.500

---

(7)
Compound: LaSeBr3
Source: the Alexandria database
Functional: PBE-GGA
Structure: optimized geometry

Calculated values
Offset from the most stable computed form (kJ per mole of atoms): 70.9
Formation energy without anion corrections (meV/atom): -292

Cell: 5.482 5.482 5.482 Å, 90.00 90.00 90.00°
Element x y z (fractional)
La 0.000 0.000 0.000
Se 0.500 0.500 0.500
Br 0.000 0.500 0.500
Br 0.500 0.000 0.500
Br 0.500 0.500 0.000

---

(8)
Compound: BeTeAu3
Source: the Alexandria database
Functional: PBE-GGA
Structure: optimized geometry

Calculated values
Offset from the most stable computed form (kJ per mole of atoms): 72.2
Formation energy without anion corrections (meV/atom): 1000

Cell: 5.321 5.321 5.321 Å, 90.00 90.00 90.00°
Element x y z (fractional)
Be 0.000 0.000 0.000
Te 0.500 0.500 0.500
Au 0.000 0.500 0.500
Au 0.500 0.000 0.500
Au 0.500 0.500 0.000

---

| no. | total moment (μB/atom) |
| --- | --- |
| 1 | 0.51 |
| 2 | 0.00 |
| 3 | 0.13 |
| 4 | 0.00 |
| 5 | 0.00 |
| 6 | 0.00 |
| 7 | 0.18 |
| 8 | 0.00 |